(1)
LiCaGe2Pd5 | GGA-PBE | optimized geometry

POSCAR file:
```
LiCaGe2Pd5
1.0
4.1814 0.0000 0.0000
0.0000 4.1814 0.0000
0.0000 0.0000 9.1861
Li Ca Ge Pd
1 1 2 5
Direct
0.0000 0.0000 0.0000
0.0000 0.0000 0.5000
0.5000 0.5000 0.1347
0.5000 0.5000 0.8653
0.0000 0.5000 0.2708
0.0000 0.5000 0.7292
0.5000 0.0000 0.2708
0.5000 0.0000 0.7292
0.5000 0.5000 0.5000
```

Fermi-level density of states = 1.0 states/eV/f.u.
ρ = 7.489 g/cm3
energy of formation from the pure elements = -0.541 eV/atom

(2)
LiCaGe2Pd2 | GGA-PBE | optimized geometry

POSCAR file:
```
LiCaGe2Pd2
1.0
4.3028 0.0000 0.0000
-2.1514 3.7263 0.0000
0.0000 0.0000 6.9043
Li Ca Ge Pd
1 1 2 2
Direct
0.0000 0.0000 0.0000
0.0000 0.0000 0.5000
0.3333 0.6667 0.7808
0.6667 0.3333 0.2192
0.3333 0.6667 0.1504
0.6667 0.3333 0.8496
```

Fermi-level density of states = 3.0 states/eV/f.u.
ρ = 6.077 g/cm3
energy of formation from the pure elements = -0.682 eV/atom

(3)
LiCa2Ge2Pd5 | GGA-PBE | optimized geometry

POSCAR file:
```
LiCa2Ge2Pd5
1.0
10.1166 0.0000 0.0000
0.0000 10.1166 0.0000
0.0000 0.0000 3.5591
Li Ca Ge Pd
2 4 4 10
Direct
0.0000 0.0000 0.0000
0.5000 0.5000 0.0000
0.1732 0.3268 0.0000
0.3268 0.8268 0.0000
0.6732 0.1732 0.0000
0.8268 0.6732 0.0000
0.1274 0.6274 0.0000
0.3726 0.1274 0.0000
0.6274 0.8726 0.0000
0.8726 0.3726 0.0000
0.0000 0.5000 0.5000
0.0624 0.7960 0.5000
0.2040 0.0624 0.5000
0.2960 0.5624 0.5000
0.4376 0.2960 0.5000
0.5000 0.0000 0.5000
0.5624 0.7040 0.5000
0.7040 0.4376 0.5000
0.7960 0.9376 0.5000
0.9376 0.2040 0.5000
```

Fermi-level density of states = 4.4 states/eV/f.u.
ρ = 6.970 g/cm3
energy of formation from the pure elements = -0.598 eV/atom

(4)
LiCa2Ge4Pd3 | GGA-PBE | optimized geometry

POSCAR file:
```
LiCa2Ge4Pd3
1.0
4.2707 0.0000 0.0000
0.0000 4.2707 0.0000
0.0000 0.0000 10.5503
Li Ca Ge Pd
1 2 4 3
Direct
0.0000 0.0000 0.0000
0.0000 0.5000 0.7514
0.5000 0.0000 0.2486
0.0000 0.0000 0.5000
0.0000 0.5000 0.1308
0.5000 0.0000 0.8692
0.5000 0.5000 0.5000
0.0000 0.5000 0.3667
0.5000 0.0000 0.6333
0.5000 0.5000 0.0000
```

Fermi-level density of states = 4.8 states/eV/f.u.
ρ = 6.014 g/cm3
energy of formation from the pure elements = -0.609 eV/atom

no.,calculated volume (Å³ per cell),electronic total energy (eV/atom)
1,161,-4.887
2,111,-4.605
3,364,-4.710
4,192,-4.605